(1)
VASP calculation (GGA-PBE) on a relaxed CaLaRu4 crystal.

Unit cell a=5.4191 b=5.4191 c=5.4191 alpha=60.00 beta=60.00 gamma=60.00
Closest atoms and distances in Å follow each position.
Fractional positions:
La (0.0000, 0.0000, 0.0000)  12 Ru 3.18, 4 Ca 3.32
Ru (0.6247, 0.1258, 0.6247)  6 Ru 2.70-2.71
Ru (0.6247, 0.6247, 0.6247)  6 Ru 2.70-2.71
Ru (0.6247, 0.6247, 0.1258)  6 Ru 2.70-2.71
Ca (0.2500, 0.2500, 0.2500)  12 Ru 3.18, 4 La 3.32
Ru (0.1258, 0.6247, 0.6247)  6 Ru 2.70-2.71

Computed properties:
Space-group type   F-43m
Calculated density   8.6 g cm⁻³
Total magnetization   1.28 Bohr magnetons per cell
E_tot   -7.33 eV per atom


(2)
VASP calculation (GGA-PBE) on a relaxed Ca4LaRu crystal.

Unit cell a=6.5109 b=6.5109 c=6.5109 alpha=60.00 beta=60.00 gamma=60.00
Closest atoms and distances in Å follow each position.
Fractional positions:
Ca (0.3737, 0.3737, 0.8788)  6 Ca 3.22-3.29
La (0.7500, 0.7500, 0.7500)  12 Ca 3.82, 4 Ru 3.99
Ca (0.8788, 0.3737, 0.3737)  6 Ca 3.22-3.29
Ca (0.3737, 0.8788, 0.3737)  6 Ca 3.22-3.29
Ca (0.3737, 0.3737, 0.3737)  6 Ca 3.22-3.29
Ru (0.0000, 0.0000, 0.0000)  12 Ca 3.81, 4 La 3.99

Computed properties:
Space-group type   F-43m
Calculated density   3.4 g cm⁻³
Total magnetization   0.01 Bohr magnetons per cell
E_tot   -2.91 eV per atom


(3)
VASP calculation (GGA-PBE) on a relaxed CaLaRu2 crystal.

Unit cell a=6.0727 b=6.0727 c=4.8724 alpha=66.50 beta=66.50 gamma=32.01
Closest atoms and distances in Å follow each position.
Fractional positions:
Ca (0.4867, 0.4867, 0.5122)  6 Ru 2.99-3.31
La (0.2670, 0.2670, 0.2336)  6 Ru 2.99-3.24, 2 La 3.35
Ru (0.7178, 0.7178, 0.7844)  2 Ru 2.62
Ru (0.0285, 0.0285, 0.9698)  2 Ru 2.62

Computed properties:
Space-group type   Cm
Calculated density   7.3 g cm⁻³
Total magnetization   0.36 Bohr magnetons per cell
E_tot   -6.22 eV per atom


(4)
VASP calculation (GGA-PBE) on a relaxed CaLaRu2 crystal.

Unit cell a=4.6977 b=4.6977 c=6.2883 alpha=80.67 beta=80.67 gamma=41.59
Closest atoms and distances in Å follow each position.
Fractional positions:
Ru (0.0021, 0.0021, 0.0656)  3 La 2.64-2.85, 2 Ru 2.85
La (0.2500, 0.2500, 0.2500)  6 Ru 2.64-2.85
Ca (0.7500, 0.7500, 0.7500)  6 Ru 3.16-3.22, 2 Ca 3.34
Ru (0.4979, 0.4979, 0.4344)  3 La 2.64-2.85, 2 Ru 2.85

Computed properties:
Space-group type   C2/m
Calculated density   7.0 g cm⁻³
Total magnetization   0.00 Bohr magnetons per cell
E_tot   -6.12 eV per atom


(5)
VASP calculation (GGA-PBE) on a relaxed CaLa2Ru2 crystal.

Unit cell a=4.0552 b=4.0552 c=9.9434 alpha=78.23 beta=78.23 gamma=90.00
Closest atoms and distances in Å follow each position.
Fractional positions:
La (0.3456, 0.3456, 0.3089)  4 Ru 2.72
La (0.6544, 0.6544, 0.6911)  4 Ru 2.72
Ca (0.0000, 0.0000, 0.0000)  4 Ca 4.06, 8 La 4.11
Ru (0.2500, 0.7500, 0.5000)  4 La 2.72, 4 Ru 2.87
Ru (0.7500, 0.2500, 0.5000)  4 La 2.72, 4 Ru 2.87

Computed properties:
Space-group type   I4/mmm
Calculated density   5.5 g cm⁻³
Total magnetization   0.00 Bohr magnetons per cell
E_tot   -5.94 eV per atom


(6)
VASP calculation (GGA-PBE) on a relaxed CaLaRu2 crystal.

Unit cell a=3.2056 b=3.2056 c=8.8262 alpha=90.00 beta=90.00 gamma=113.25
Closest atoms and distances in Å follow each position.
Fractional positions:
Ru (0.0000, 0.0000, 0.5103)  2 La 2.75, 2 Ca 2.90
Ru (0.0000, 0.0000, 0.9897)  2 La 2.75, 2 Ca 2.90
La (0.5000, 0.5000, 0.7500)  4 Ru 2.75
Ca (0.5000, 0.5000, 0.2500)  4 Ru 2.90, 4 Ca 3.21

Computed properties:
Space-group type   Cmmm
Calculated density   7.6 g cm⁻³
Total magnetization   0.00 Bohr magnetons per cell
E_tot   -6.06 eV per atom


(7)
VASP calculation (GGA-PBE) on a relaxed CaLaRu2 crystal.

Unit cell a=4.8604 b=4.8604 c=4.8604 alpha=60.00 beta=60.00 gamma=60.00
Closest atoms and distances in Å follow each position.
Fractional positions:
Ru (0.2500, 0.2500, 0.2500)  4 Ca 2.98, 4 Ru 2.98
Ru (0.0000, 0.0000, 0.0000)  4 La 2.98, 4 Ru 2.98
La (0.7500, 0.7500, 0.7500)  4 Ca 2.98, 4 Ru 2.98
Ca (0.5000, 0.5000, 0.5000)  4 La 2.98, 4 Ru 2.98

Computed properties:
Space-group type   F-43m
Calculated density   7.8 g cm⁻³
Total magnetization   0.43 Bohr magnetons per cell
E_tot   -5.97 eV per atom


(8)
VASP calculation (GGA-PBE) on a relaxed Ca3La2Ru2 crystal.

Unit cell a=3.9561 b=6.6801 c=9.0413 alpha=105.14 beta=102.63 gamma=107.23
Closest atoms and distances in Å follow each position.
Fractional positions:
La (0.3665, 0.5437, 0.1893)  2 Ru 2.62
Ca (0.7949, 0.1680, 0.4216)  3 Ru 3.09-3.27
Ca (0.2051, 0.8320, 0.5784)  3 Ru 3.09-3.27
La (0.6335, 0.4563, 0.8107)  2 Ru 2.62
Ru (0.9881, 0.1807, 0.7957)  2 La 2.62
Ru (0.0119, 0.8193, 0.2043)  2 La 2.62
Ca (0.5000, 0.0000, 0.0000)  4 Ru 3.15, 2 Ca 3.49

Computed properties:
Space-group type   C2/m
Calculated density   4.8 g cm⁻³
Total magnetization   0.00 Bohr magnetons per cell
E_tot   -5.04 eV per atom


(9)
VASP calculation (GGA-PBE) on a relaxed Ca2LaRu2 crystal.

Unit cell a=7.0887 b=7.0887 c=4.9214 alpha=90.00 beta=90.00 gamma=90.00
Closest atoms and distances in Å follow each position.
Fractional positions:
Ru (0.8774, 0.6226, 0.0000)  1 Ru 2.46
Ru (0.3774, 0.8774, 0.0000)  1 Ru 2.46
Ru (0.6226, 0.1226, 0.0000)  1 Ru 2.46
Ca (0.1657, 0.6657, 0.5000)  6 Ru 3.21-3.25, 1 Ca 3.32
La (0.0000, 0.0000, 0.0000)  4 Ru 2.81
Ru (0.1226, 0.3774, 0.0000)  1 Ru 2.46
Ca (0.8343, 0.3343, 0.5000)  6 Ru 3.21-3.25, 1 Ca 3.32
Ca (0.3343, 0.1657, 0.5000)  6 Ru 3.21-3.25, 1 Ca 3.32
Ca (0.6657, 0.8343, 0.5000)  6 Ru 3.21-3.25, 1 Ca 3.32
La (0.5000, 0.5000, 0.0000)  4 Ru 2.81

Computed properties:
Space-group type   P4/mbm
Calculated density   5.7 g cm⁻³
Total magnetization   1.18 Bohr magnetons per cell
E_tot   -5.41 eV per atom


(10)
VASP calculation (GGA-PBE) on a relaxed CaLaRu2 crystal.

Unit cell a=3.1381 b=3.7487 c=8.3796 alpha=90.00 beta=90.00 gamma=90.00
Closest atoms and distances in Å follow each position.
Fractional positions:
Ru (0.5000, 0.5000, 0.1736)  4 Ru 2.60, 1 La 2.83
Ca (0.0000, 0.0000, 0.4226)  5 Ru 2.97-3.21, 2 Ca 3.14
Ru (0.0000, 0.0000, 0.0681)  4 Ru 2.60
La (0.5000, 0.5000, 0.8357)  5 Ru 2.83-3.13, 2 La 3.14

Computed properties:
Space-group type   Pmm2
Calculated density   6.4 g cm⁻³
Total magnetization   0.00 Bohr magnetons per cell
E_tot   -6.19 eV per atom


(11)
VASP calculation (GGA-PBE) on a relaxed CaLaRu2 crystal.

Unit cell a=4.8968 b=4.8963 c=3.4809 alpha=90.00 beta=90.00 gamma=90.00
Closest atoms and distances in Å follow each position.
Fractional positions:
Ru (0.0000, 0.0000, 0.0000)  4 La 3.00, 4 Ca 3.00
Ru (0.5000, 0.5000, 0.0000)  4 Ca 3.00, 4 La 3.00
La (0.0000, 0.5000, 0.5000)  8 Ru 3.00
Ca (0.5000, 0.0000, 0.5000)  8 Ru 3.00

Computed properties:
Space-group type   P4/mmm
Calculated density   7.6 g cm⁻³
Total magnetization   0.00 Bohr magnetons per cell
E_tot   -6.19 eV per atom


(12)
VASP calculation (GGA-PBE) on a relaxed CaLa8Ru4 crystal.

Unit cell a=4.3107 b=10.3462 c=9.8382 alpha=88.38 beta=77.35 gamma=77.98
Closest atoms and distances in Å follow each position.
Fractional positions:
La (0.1947, 0.6956, 0.9150)  3 Ru 2.76-2.87
La (0.4548, 0.3850, 0.7055)  3 Ru 2.83-2.96
La (0.8671, 0.9583, 0.3075)  3 Ru 2.90-2.93
Ru (0.3716, 0.8130, 0.4439)  6 La 2.80-2.93
La (0.8606, 0.6972, 0.5816)  3 Ru 2.80-3.04
La (0.8367, 0.3078, 0.0187)  3 Ru 2.76-2.87
Ca (0.5157, 0.0017, 0.9669)  8 La 3.80-3.95
La (0.1709, 0.3061, 0.3521)  3 Ru 2.80-3.04
La (0.1643, 0.0451, 0.6263)  3 Ru 2.90-2.93
Ru (0.8086, 0.5365, 0.8464)  6 La 2.76-3.04
Ru (0.6599, 0.1905, 0.4898)  6 La 2.80-2.93
La (0.5767, 0.6184, 0.2282)  3 Ru 2.83-2.96
Ru (0.2228, 0.4669, 0.0874)  6 La 2.76-3.04

Computed properties:
Space-group type   C2/m
Calculated density   6.2 g cm⁻³
Total magnetization   0.00 Bohr magnetons per cell
E_tot   -6.26 eV per atom


Number 3 is which compound? CaLaRu2